## CoPPbO2 (PBE+U)

Data for a relaxed CoPPbO2 crystal.

abc: 3.893 3.893 4.695
angles: 90.00 90.00 90.00
Space group P4/mmm (No. 123)
Unique sites:
Co: 0.000 0.000 0.000 x1
P: 0.000 0.000 0.500 x1
Pb: 0.500 0.500 0.500 x1
O: 0.000 0.500 0.000 x2

- Raw total energy: -24.895 eV/cell
- ρ: 7.68 g/cm³
- Fermi-level density of states: 4.63 states/eV/cell